# 1
PBE Mg2ZrZn, optimized geometry; symmetry = P4mm (99); magnetization = 0.00 μB/cell; formation energy from the elements = -10.6 kJ per mole of atoms
1.0
3.1450 0.0000 0.0000
0.0000 3.1450 0.0000
0.0000 0.0000 8.2200
Mg Zr Zn
2 1 1
Direct
0.0000 0.0000 0.0000 Mg
0.5000 0.5000 0.2772 Mg
0.5000 0.5000 0.7188 Zr
0.0000 0.0000 0.4928 Zn

# 2
PBE Mg2ZrZn, optimized geometry; symmetry = I4/mmm (139); magnetization = 0.00 μB/cell; formation energy from the elements = 9.6 kJ per mole of atoms
1.0
-2.1116 2.1116 4.5943
2.1116 -2.1116 4.5943
2.1116 2.1116 -4.5943
Mg Zr Zn
2 1 1
Direct
0.2500 0.7500 0.5000 Mg
0.7500 0.2500 0.5000 Mg
0.0000 0.0000 0.0000 Zr
0.5000 0.5000 0.0000 Zn

# 3
PBE Mg2ZrZn3, optimized geometry; symmetry = P4/mmm (123); magnetization = 0.00 μB/cell; formation energy from the elements = -15.3 kJ per mole of atoms
1.0
3.2082 0.0000 0.0000
0.0000 3.2082 0.0000
0.0000 0.0000 10.5191
Mg Zr Zn
2 1 3
Direct
0.0000 0.0000 0.1662 Mg
0.0000 0.0000 0.8338 Mg
0.0000 0.0000 0.5000 Zr
0.5000 0.5000 0.0000 Zn
0.5000 0.5000 0.3280 Zn
0.5000 0.5000 0.6720 Zn

# 4
PBE Mg2ZrZn, optimized geometry; symmetry = C2/m (12); magnetization = 0.00 μB/cell; formation energy from the elements = 0.5 kJ per mole of atoms
1.0
2.9909 -5.1544 0.0000
2.9909 5.1544 0.0000
-1.0871 0.0000 2.6321
Mg Zr Zn
2 1 1
Direct
0.0000 0.5000 0.0000 Mg
0.5000 0.0000 0.0000 Mg
0.0000 0.0000 0.5000 Zr
0.5000 0.5000 0.5000 Zn

# 5
PBE Mg5ZrZn6, optimized geometry; symmetry = P2/m (10); magnetization = 0.00 μB/cell; formation energy from the elements = -11.6 kJ per mole of atoms
1.0
4.5163 0.0000 0.0000
0.0000 6.9692 0.0000
-2.1675 0.0000 6.8669
Mg Zr Zn
5 1 6
Direct
0.0000 0.0000 0.0000 Mg
0.3310 0.0000 0.6579 Mg
0.3395 0.5000 0.6719 Mg
0.6605 0.5000 0.3281 Mg
0.6690 0.0000 0.3421 Mg
0.0000 0.5000 0.0000 Zr
0.1617 0.2547 0.3350 Zn
0.1617 0.7453 0.3350 Zn
0.5000 0.2408 0.0000 Zn
0.5000 0.7592 0.0000 Zn
0.8383 0.2547 0.6650 Zn
0.8383 0.7453 0.6650 Zn

# 6
PBE MgZrZn6, optimized geometry; symmetry = Amm2 (38); magnetization = 0.00 μB/cell; formation energy from the elements = -16.3 kJ per mole of atoms
1.0
4.3239 0.0000 0.0000
0.0000 3.2429 4.7162
0.0000 -3.2429 4.7162
Mg Zr Zn
1 1 6
Direct
0.0000 0.0000 0.0000 Mg
0.5000 0.2530 0.2530 Zr
0.0000 0.4464 0.4464 Zn
0.0000 0.5164 0.9306 Zn
0.0000 0.9306 0.5164 Zn
0.5000 0.3231 0.7376 Zn
0.5000 0.7376 0.3231 Zn
0.5000 0.8026 0.8026 Zn